The following is a DFT calculation (PBE-GGA) of BeMoCl2 after structural relaxation.

The structure in POSCAR format:
```
BeMoCl2
1.0
-0.0601 -3.1452 3.2181
-1.7257 -2.7184 -3.1439
2.6845 -0.8272 -0.7583
Cl Be Mo
2 1 1
direct
0.0000 0.0000 0.0000 Cl
0.5000 0.5000 0.0000 Cl
0.0000 0.5000 0.5000 Be
0.5000 0.0000 0.5000 Mo
```

## Properties
Crystal system: orthorhombic
Formation energy without anion corrections in eV per atom: 0.83
Space-group type: Cmmm, No. 65
Uncorrected energy in eV/atom: -3.7302
Energy above the lowest structure with this stoichiometry in kJ per mole of atoms: 109.69